Record 1
Below is a crystal of Zr2NiAu relaxed with PBEsol, with properties calculated at the meta-GGA SCAN level.

Cell: 4.761 4.761 3.216 Å, 90.00 90.00 105.75°
Positions (direct):
Zr 0.000 0.500 0.000
Zr 0.500 0.000 0.000
Ni 0.000 0.000 0.500
Au 0.500 0.500 0.500

Energy of formation (eV per atom): -0.45
D(E_F) (states/eV/atom): 1.005

***

Record 2
Below is a crystal of NpSnAu2 relaxed with PBEsol, with properties calculated at the meta-GGA SCAN level.

Cell: 4.901 4.901 4.901 Å, 60.00 60.00 60.00°
Positions (direct):
Np 0.000 0.000 0.000
Sn 0.500 0.500 0.500
Au 0.250 0.250 0.250
Au 0.750 0.750 0.750

Energy of formation (eV per atom): -0.14
D(E_F) (states/eV/atom): 3.171

***

Record 3
Below is a crystal of Au2O3 relaxed with PBEsol, with properties calculated at the meta-GGA SCAN level.

Cell: 6.696 5.586 8.271 Å, 53.65 42.21 84.14°
Positions (direct):
Au 0.088 0.912 0.321
Au 0.571 0.929 0.338
Au 0.912 0.088 0.679
Au 0.929 0.571 0.162
O 0.032 0.732 0.803
O 0.068 0.068 0.932
O 0.318 0.318 0.182
O 0.447 0.817 0.218
O 0.732 0.032 0.433
O 0.817 0.447 0.518

Formation energy without anion corrections (eV per atom): -0.20

***

Record 4
Below is a crystal of PAu2O relaxed with PBEsol, with properties calculated at the meta-GGA SCAN level.

Cell: 5.500 5.500 5.500 Å, 113.80 113.80 101.12°
Positions (direct):
P 0.000 0.000 0.000
P 0.750 0.250 0.500
Au 0.139 0.625 0.014
Au 0.375 0.389 0.514
Au 0.611 0.125 0.986
Au 0.875 0.861 0.486
O 0.250 0.750 0.500
O 0.500 0.500 0.000

Formation energy without anion corrections (eV per atom): 0.15
D(E_F) (states/eV/atom): 0.381

***

Record 5
Below is a crystal of PPbAuO2 relaxed with PBEsol, with properties calculated at the meta-GGA SCAN level.

Cell: 3.989 3.989 5.749 Å, 90.00 90.00 90.00°
Positions (direct):
P 0.000 0.000 0.000
Pb 0.000 0.000 0.500
Au 0.500 0.500 0.000
O 0.000 0.500 0.500
O 0.500 0.000 0.500

Formation energy without anion corrections (eV per atom): 0.44
D(E_F) (states/eV/atom): 0.666

***

Record 6
Below is a crystal of P2PdAuO relaxed with PBEsol, with properties calculated at the meta-GGA SCAN level.

Cell: 4.712 4.712 3.684 Å, 90.00 90.00 90.00°
Positions (direct):
P 0.000 0.500 0.000
P 0.500 0.000 0.000
Pd 0.000 0.000 0.000
Au 0.500 0.500 0.500
O 0.000 0.000 0.500

Formation energy without anion corrections (eV per atom): 0.60
D(E_F) (states/eV/atom): 0.607

***

Record 7
Below is a crystal of RbPAuO2 relaxed with PBEsol, with properties calculated at the meta-GGA SCAN level.

Cell: 4.418 4.418 4.511 Å, 90.00 90.00 90.00°
Positions (direct):
Rb 0.000 0.000 0.000
P 0.500 0.500 0.000
Au 0.500 0.500 0.500
O 0.000 0.500 0.500
O 0.500 0.000 0.500

Formation energy without anion corrections (eV per atom): 0.25
D(E_F) (states/eV/atom): 0.811

***

Record 8
Below is a crystal of P2RuAuO relaxed with PBEsol, with properties calculated at the meta-GGA SCAN level.

Cell: 4.723 4.723 3.748 Å, 90.00 90.00 90.00°
Positions (direct):
P 0.000 0.500 0.000
P 0.500 0.000 0.000
Ru 0.000 0.000 0.500
Au 0.500 0.500 0.000
O 0.500 0.500 0.500

Formation energy without anion corrections (eV per atom): 1.20
D(E_F) (states/eV/atom): 0.684

***

Record 9
Below is a crystal of PAuS2O relaxed with PBEsol, with properties calculated at the meta-GGA SCAN level.

Cell: 4.318 4.318 3.975 Å, 90.00 90.00 90.00°
Positions (direct):
P 0.000 0.000 0.000
Au 0.500 0.500 0.000
S 0.000 0.500 0.500
S 0.500 0.000 0.500
O 0.000 0.000 0.500

Formation energy without anion corrections (eV per atom): 1.01
D(E_F) (states/eV/atom): 0.948

***

Record 10
Below is a crystal of P2AuSeO relaxed with PBEsol, with properties calculated at the meta-GGA SCAN level.

Cell: 4.811 4.811 3.568 Å, 90.00 90.00 90.00°
Positions (direct):
P 0.000 0.500 0.000
P 0.500 0.000 0.000
Au 0.000 0.000 0.500
Se 0.500 0.500 0.000
O 0.500 0.500 0.500

Formation energy without anion corrections (eV per atom): 0.68
D(E_F) (states/eV/atom): 0.373

***

Record 11
Below is a crystal of SrPAuO2 relaxed with PBEsol, with properties calculated at the meta-GGA SCAN level.

Cell: 4.322 4.322 4.514 Å, 90.00 90.00 90.00°
Positions (direct):
Sr 0.000 0.000 0.000
P 0.500 0.500 0.000
Au 0.500 0.500 0.500
O 0.000 0.500 0.500
O 0.500 0.000 0.500

Formation energy without anion corrections (eV per atom): -0.46
D(E_F) (states/eV/atom): 0.692

***

Record 12
Below is a crystal of Ta2PAuO relaxed with PBEsol, with properties calculated at the meta-GGA SCAN level.

Cell: 4.081 4.081 4.557 Å, 90.00 90.00 90.00°
Positions (direct):
Ta 0.000 0.500 0.000
Ta 0.500 0.000 0.000
P 0.000 0.000 0.500
Au 0.500 0.500 0.500
O 0.000 0.000 0.000

Formation energy without anion corrections (eV per atom): -0.10
D(E_F) (states/eV/atom): 0.482

***

Record 13
Below is a crystal of PbAuO3 relaxed with PBEsol, with properties calculated at the meta-GGA SCAN level.

Cell: 4.062 4.062 4.062 Å, 90.00 90.00 90.00°
Positions (direct):
Pb 0.000 0.000 0.000
Au 0.500 0.500 0.500
O 0.000 0.500 0.500
O 0.500 0.000 0.500
O 0.500 0.500 0.000

Formation energy without anion corrections (eV per atom): -0.31
D(E_F) (states/eV/atom): 0.615

***

Record 14
Below is a crystal of ZnPbAu2O relaxed with PBEsol, with properties calculated at the meta-GGA SCAN level.

Cell: 4.660 4.660 5.465 Å, 90.00 90.00 90.00°
Positions (direct):
Zn 0.000 0.000 0.000
Pb 0.000 0.000 0.500
Au 0.000 0.500 0.000
Au 0.500 0.000 0.000
O 0.500 0.500 0.500

Formation energy without anion corrections (eV per atom): 0.63
D(E_F) (states/eV/atom): 0.336

***

Record 15
Below is a crystal of TiPd2AuO relaxed with PBEsol, with properties calculated at the meta-GGA SCAN level.

Cell: 4.849 4.849 4.789 Å, 90.00 90.00 90.00°
Positions (direct):
Ti 0.000 0.000 0.000
Pd 0.000 0.500 0.500
Pd 0.500 0.000 0.500
Au 0.000 0.000 0.500
O 0.500 0.500 0.000

Formation energy without anion corrections (eV per atom): 1.20
D(E_F) (states/eV/atom): 0.987

***

Record 16
Below is a crystal of RbAu3O relaxed with PBEsol, with properties calculated at the meta-GGA SCAN level.

Cell: 4.648 4.648 4.648 Å, 90.00 90.00 90.00°
Positions (direct):
Rb 0.000 0.000 0.000
Au 0.000 0.500 0.500
Au 0.500 0.000 0.500
Au 0.500 0.500 0.000
O 0.500 0.500 0.500

Formation energy without anion corrections (eV per atom): 0.17
D(E_F) (states/eV/atom): 0.088

***

Record 17
Below is a crystal of RbAuS2O8 relaxed with PBEsol, with properties calculated at the meta-GGA SCAN level.

Cell: 4.219 5.091 8.856 Å, 78.66 89.11 75.08°
Positions (direct):
Rb 0.000 0.000 0.000
Au 0.000 0.500 0.500
S 0.459 0.606 0.739
S 0.541 0.394 0.261
O 0.218 0.732 0.598
O 0.247 0.605 0.314
O 0.326 0.439 0.862
O 0.449 0.158 0.225
O 0.551 0.842 0.775
O 0.674 0.561 0.138
O 0.753 0.395 0.686
O 0.782 0.268 0.402

Formation energy without anion corrections (eV per atom): -1.42
D(E_F) (states/eV/atom): 0.000

***

Record 18
Below is a crystal of RbAuS2O8 relaxed with PBEsol, with properties calculated at the meta-GGA SCAN level.

Cell: 5.944 5.944 7.341 Å, 115.60 115.60 50.38°
Positions (direct):
Rb 0.000 0.000 0.000
Au 0.500 0.500 0.500
S 0.196 0.196 0.660
S 0.804 0.804 0.340
O 0.112 0.631 0.289
O 0.163 0.163 0.445
O 0.343 0.343 0.817
O 0.369 0.888 0.711
O 0.631 0.112 0.289
O 0.657 0.657 0.183
O 0.837 0.837 0.555
O 0.888 0.369 0.711

Formation energy without anion corrections (eV per atom): -1.42
D(E_F) (states/eV/atom): 0.000

***

Record 19
Below is a crystal of Re3AuO relaxed with PBEsol, with properties calculated at the meta-GGA SCAN level.

Cell: 4.798 4.798 4.798 Å, 90.00 90.00 90.00°
Positions (direct):
Re 0.000 0.000 0.500
Re 0.000 0.500 0.000
Re 0.500 0.000 0.000
Au 0.000 0.000 0.000
O 0.500 0.500 0.500

Formation energy without anion corrections (eV per atom): 3.60
D(E_F) (states/eV/atom): 1.252

***

Record 20
Below is a crystal of ReSiAuO2 relaxed with PBEsol, with properties calculated at the meta-GGA SCAN level.

Cell: 3.506 3.506 5.498 Å, 90.00 90.00 90.00°
Positions (direct):
Re 0.000 0.000 0.000
Si 0.000 0.000 0.500
Au 0.500 0.500 0.000
O 0.000 0.500 0.500
O 0.500 0.000 0.500

Formation energy without anion corrections (eV per atom): -0.11
D(E_F) (states/eV/atom): 0.604